No. 1
The following is a PBE calculation of Ac5Sm3H12 after structural relaxation, from Alexandria.

Properties
electronic total energy: -0.1509 Ha/atom

a b c (Å): 12.2661 12.2661 12.2661
angles (deg): 109.47 109.47 109.47
Closest atoms and distances in Å follow each position.
Positions (direct):
Sm 0.8750 0.1250 0.2500  8 H 2.38-2.54
Sm 0.7500 0.8750 0.6250  8 H 2.38-2.54
Sm 0.3750 0.7500 0.6250  8 H 2.38-2.54
Sm 0.2500 0.1250 0.3750  8 H 2.38-2.54
Sm 0.1250 0.2500 0.8750  8 H 2.38-2.54
Sm 0.2500 0.6250 0.8750  8 H 2.38-2.54
Sm 0.7500 0.3750 0.1250  8 H 2.38-2.54
Sm 0.1250 0.8750 0.7500  8 H 2.38-2.54
Sm 0.6250 0.3750 0.7500  8 H 2.38-2.54
Sm 0.8750 0.7500 0.1250  8 H 2.38-2.54
Sm 0.3750 0.6250 0.2500  8 H 2.38-2.54
Sm 0.6250 0.2500 0.3750  8 H 2.38-2.54
Ac 0.5000 0.0000 0.0000  6 H 2.49
Ac 0.0000 0.0000 0.0000  6 H 2.49
Ac 0.0000 0.5000 0.5000  6 H 2.49
Ac 0.5000 0.5000 0.5000  6 H 2.49
Ac 0.5000 0.5000 0.0000  6 H 2.49
Ac 0.7500 0.1250 0.8750  4 H 2.48
Ac 0.0000 0.0000 0.5000  6 H 2.49
Ac 0.0000 0.5000 0.0000  6 H 2.49
Ac 0.7500 0.6250 0.3750  4 H 2.48
Ac 0.6250 0.7500 0.8750  4 H 2.48
Ac 0.1250 0.7500 0.3750  4 H 2.48
Ac 0.2500 0.8750 0.1250  4 H 2.48
Ac 0.8750 0.2500 0.6250  4 H 2.48
Ac 0.5000 0.0000 0.5000  6 H 2.49
Ac 0.2500 0.3750 0.6250  4 H 2.48
Ac 0.8750 0.6250 0.7500  4 H 2.48
Ac 0.3750 0.2500 0.1250  4 H 2.48
Ac 0.3750 0.1250 0.7500  4 H 2.48
Ac 0.1250 0.3750 0.2500  4 H 2.48
Ac 0.6250 0.8750 0.2500  4 H 2.48
H 0.5851 0.6641 0.4310  1 H 2.25, 1 Sm 2.38, 2 Ac 2.48-2.49
H 0.8460 0.9310 0.2669  1 H 2.25, 1 Sm 2.38, 2 Ac 2.48-2.49
H 0.3460 0.5791 0.4149  1 H 2.25, 1 Sm 2.38, 2 Ac 2.48-2.49
H 0.8460 0.9149 0.0791  1 H 2.25, 1 Sm 2.38, 2 Ac 2.48-2.49
H 0.9209 0.5851 0.1540  1 H 2.25, 1 Sm 2.38, 2 Ac 2.48-2.49
H 0.4149 0.0791 0.3460  1 H 2.25, 1 Sm 2.38, 2 Ac 2.48-2.49
H 0.9209 0.3359 0.2669  1 H 2.25, 1 Sm 2.38, 2 Ac 2.48-2.49
H 0.0690 0.1540 0.2331  1 H 2.25, 1 Sm 2.38, 2 Ac 2.48-2.49
H 0.1641 0.7331 0.5791  1 H 2.25, 1 Sm 2.38, 2 Ac 2.48-2.49
H 0.5791 0.3460 0.9149  1 H 2.25, 1 Sm 2.38, 2 Ac 2.48-2.49
H 0.3359 0.9209 0.7669  1 H 2.25, 1 Sm 2.38, 2 Ac 2.48-2.49
H 0.5791 0.2331 0.1641  1 H 2.25, 1 Sm 2.38, 2 Ac 2.48-2.49
H 0.9310 0.0851 0.6641  1 H 2.25, 1 Sm 2.38, 2 Ac 2.48-2.49
H 0.8359 0.5690 0.9149  1 H 2.25, 1 Sm 2.38, 2 Ac 2.48-2.49
H 0.4149 0.3359 0.5690  1 H 2.25, 1 Sm 2.38, 2 Ac 2.48-2.49
H 0.0791 0.4149 0.8460  1 H 2.25, 1 Sm 2.38, 2 Ac 2.48-2.49
H 0.2331 0.5791 0.6641  1 H 2.25, 1 Sm 2.38, 2 Ac 2.48-2.49
H 0.0791 0.6641 0.7331  1 H 2.25, 1 Sm 2.38, 2 Ac 2.48-2.49
H 0.3460 0.7669 0.4310  1 H 2.25, 1 Sm 2.38, 2 Ac 2.48-2.49
H 0.9310 0.8460 0.7669  1 H 2.25, 1 Sm 2.38, 2 Ac 2.48-2.49
H 0.8359 0.2669 0.4209  1 H 2.25, 1 Sm 2.38, 2 Ac 2.48-2.49
H 0.4310 0.1641 0.5851  1 H 2.25, 1 Sm 2.38, 2 Ac 2.48-2.49
H 0.7669 0.4209 0.3359  1 H 2.25, 1 Sm 2.38, 2 Ac 2.48-2.49
H 0.7331 0.1641 0.0791  1 H 2.25, 1 Sm 2.38, 2 Ac 2.48-2.49
H 0.2669 0.8359 0.9209  1 H 2.25, 1 Sm 2.38, 2 Ac 2.48-2.49
H 0.2331 0.6540 0.0690  1 H 2.25, 1 Sm 2.38, 2 Ac 2.48-2.49
H 0.6641 0.5851 0.9310  1 H 2.25, 1 Sm 2.38, 2 Ac 2.48-2.49
H 0.1641 0.4310 0.0851  1 H 2.25, 1 Sm 2.38, 2 Ac 2.48-2.49
H 0.1540 0.0690 0.7331  1 H 2.25, 1 Sm 2.38, 2 Ac 2.48-2.49
H 0.4209 0.6540 0.0851  1 H 2.25, 1 Sm 2.38, 2 Ac 2.48-2.49
H 0.0690 0.9149 0.3359  1 H 2.25, 1 Sm 2.38, 2 Ac 2.48-2.49
H 0.5690 0.8359 0.4149  1 H 2.25, 1 Sm 2.38, 2 Ac 2.48-2.49
H 0.7669 0.3460 0.9310  1 H 2.25, 1 Sm 2.38, 2 Ac 2.48-2.49
H 0.2669 0.4310 0.8460  1 H 2.25, 1 Sm 2.38, 2 Ac 2.48-2.49
H 0.0851 0.9310 0.1641  1 H 2.25, 1 Sm 2.38, 2 Ac 2.48-2.49
H 0.1540 0.0851 0.9209  1 H 2.25, 1 Sm 2.38, 2 Ac 2.48-2.49
H 0.0851 0.1540 0.4209  1 H 2.25, 1 Sm 2.38, 2 Ac 2.48-2.49
H 0.6540 0.4209 0.5851  1 H 2.25, 1 Sm 2.38, 2 Ac 2.48-2.49
H 0.4310 0.2669 0.3460  1 H 2.25, 1 Sm 2.38, 2 Ac 2.48-2.49
H 0.5690 0.7331 0.6540  1 H 2.25, 1 Sm 2.38, 2 Ac 2.48-2.49
H 0.5851 0.9209 0.6540  1 H 2.25, 1 Sm 2.38, 2 Ac 2.48-2.49
H 0.9149 0.8460 0.5791  1 H 2.25, 1 Sm 2.38, 2 Ac 2.48-2.49
H 0.3359 0.4149 0.0690  1 H 2.25, 1 Sm 2.38, 2 Ac 2.48-2.49
H 0.4209 0.7669 0.8359  1 H 2.25, 1 Sm 2.38, 2 Ac 2.48-2.49
H 0.6641 0.0791 0.2331  1 H 2.25, 1 Sm 2.38, 2 Ac 2.48-2.49
H 0.9149 0.0690 0.8359  1 H 2.25, 1 Sm 2.38, 2 Ac 2.48-2.49
H 0.6540 0.2331 0.5690  1 H 2.25, 1 Sm 2.38, 2 Ac 2.48-2.49
H 0.7331 0.5690 0.1540  1 H 2.25, 1 Sm 2.38, 2 Ac 2.48-2.49

No. 2
The following is a PBE calculation of KMn2Au after structural relaxation, from Alexandria.

Properties
electronic total energy: -0.1785 Ha/atom
offset from the most stable computed form: 423 meV/atom
calculated formation energy: 820 meV/atom

a b c (Å): 5.6269 5.6269 2.8686
angles (deg): 90.00 90.00 116.73
Closest atoms and distances in Å follow each position.
Positions (direct):
K 0.0000 0.5000 0.5000  2 K 2.87, 2 Au 2.95, 8 Mn 3.16
Mn 0.0000 0.0000 0.0000  4 Mn 2.87-2.95, 4 K 3.16, 4 Au 3.16
Mn 0.5000 0.5000 0.0000  4 Mn 2.87-2.95, 4 Au 3.16, 4 K 3.16
Au 0.5000 0.0000 0.5000  2 Au 2.87, 2 K 2.95, 8 Mn 3.16